No. 1
Below is an optimized crystal structure of CaTlO, with properties calculated at the GGA-PBE level.

Computed properties:
For the total energy, the calculation gives -4.834 eV/atom.

a = 3.907 Å, b = 3.907 Å, c = 10.865 Å
α = 79.64°, β = 79.64°, γ = 60.00°
Sites, in units of the cell vectors:
Tl  0.795  0.795  0.616
Tl  0.205  0.205  0.384
Ca  0.372  0.372  0.885
O  0.702  0.702  0.893
O  0.298  0.298  0.107
Ca  0.628  0.628  0.115

---

No. 2
Below is an optimized crystal structure of Nd8GaAg2, with properties calculated at the GGA-PBE level.

Computed properties:
For the total energy, the calculation gives -4.423 eV/atom. The calculation puts the energy above the most stable polymorph in this dataset at 0 meV per atom.

a = 5.305 Å, b = 7.235 Å, c = 9.598 Å
α = 108.01°, β = 106.04°, γ = 90.00°
Sites, in units of the cell vectors:
Nd  0.591  0.459  0.181
Nd  0.332  0.019  0.664
Nd  0.196  0.317  0.392
Ag  0.821  0.284  0.643
Nd  0.409  0.541  0.819
Nd  0.024  0.778  0.048
Ag  0.179  0.716  0.357
Ga  0.500  0.000  0.000
Nd  0.976  0.222  0.952
Nd  0.668  0.981  0.336
Nd  0.804  0.683  0.608

---

No. 3
Below is an optimized crystal structure of Ag3S, with properties calculated at the GGA-PBE level.

Computed properties:
For the total energy, the calculation gives -3.052 eV/atom.

a = 4.616 Å, b = 5.999 Å, c = 6.001 Å
α = 119.99°, β = 90.00°, γ = 90.00°
Sites, in units of the cell vectors:
Ag  0.250  0.166  0.834
S  0.750  0.333  0.666
S  0.250  0.667  0.334
Ag  0.250  0.165  0.331
Ag  0.250  0.669  0.834
Ag  0.750  0.331  0.166
Ag  0.750  0.835  0.669
Ag  0.750  0.834  0.166